Entry 1:
First-principles (PBE) data for a relaxed structure of Hf3IrSe, as listed in Alexandria.

The value obtained for the uncorrected formation energy is 1.33 kcal/mol of atoms. The calculation puts the energy above the most stable polymorph in this dataset at 0.000 eV per atom. The calculation puts the volume at 126.8 Å³ per cell.

Cell: 5.024 5.024 5.024 Å, 90.00 90.00 90.00°
Space group Pm-3m (No. 221)
Symmetry-distinct sites (fractional):
1 Hf 0.000 0.000 0.500 x3
2 Ir 0.000 0.000 0.000 x1
3 Se 0.500 0.500 0.500 x1


Entry 2:
First-principles (PBE) data for a relaxed structure of TaMn2Hg2S6, as listed in Alexandria.

The value obtained for the uncorrected formation energy is -12.28 kcal/mol of atoms. The calculation puts the volume at 501.1 Å³ per cell.

Cell: 5.518 9.628 9.498 Å, 90.00 96.74 90.00°
Space group C2/m (No. 12)
Symmetry-distinct sites (fractional):
1 Ta 0.000 0.000 0.000 x2
2 Mn 0.000 0.362 0.000 x4
3 Hg 0.000 0.166 0.500 x4
4 S 0.182 0.500 0.165 x4
5 S 0.206 0.182 0.146 x8


Entry 3:
First-principles (PBE) data for a relaxed structure of Lu2AlZn, as listed in Alexandria.

The calculation puts the energy above the most stable polymorph in this dataset at 0.014 eV per atom. Its energy relative to the elements is -140 kJ/mol of formula units. The calculation puts the volume at 347.1 Å³ per cell.

Cell: 7.028 7.028 7.028 Å, 90.00 90.00 90.00°
Space group Fm-3m (No. 225)
Symmetry-distinct sites (fractional):
1 Lu 0.250 0.250 0.250 x8
2 Al 0.000 0.000 0.000 x4
3 Zn 0.000 0.000 0.500 x4


Entry 4:
First-principles (PBE) data for a relaxed structure of ZnAgW2, as listed in Alexandria.

Its energy relative to the elements is 341 kJ/mol of formula units. The calculation puts the volume at 278.1 Å³ per cell.

Cell: 3.724 3.724 20.057 Å, 90.00 90.00 90.00°
Space group I-42d (No. 122)
Symmetry-distinct sites (fractional):
1 Zn 0.000 0.000 0.000 x4
2 Ag 0.000 0.000 0.500 x4
3 W 0.243 0.250 0.125 x8


Entry 5:
First-principles (PBE) data for a relaxed structure of Mn2HRuW, as listed in Alexandria.

The calculation puts the energy above the most stable polymorph in this dataset at 0.040 eV per atom. The calculation puts the volume at 54.8 Å³ per cell.

Cell: 3.747 3.747 3.902 Å, 90.00 90.00 90.00°
Space group P4/mmm (No. 123)
Symmetry-distinct sites (fractional):
1 Mn 0.000 0.500 0.000 x2
2 H 0.000 0.000 0.000 x1
3 Ru 0.500 0.500 0.500 x1
4 W 0.000 0.000 0.500 x1


Entry 6:
First-principles (PBE) data for a relaxed structure of AcLaO2, as listed in Alexandria.

The value obtained for the uncorrected formation energy is -59.17 kcal/mol of atoms. The calculation puts the energy above the most stable polymorph in this dataset at 0.203 eV per atom. The calculation puts the volume at 223.2 Å³ per cell.

Cell: 3.6690 3.6690 19.1499 Å, 90.00 90.00 120.00°
Space group R3m (No. 160, hexagonal axes)
Symmetry-distinct sites (fractional):
1 Ac 0.0000 0.0000 0.0000 x3
2 La 0.0000 0.0000 0.1770 x3
3 O 0.0000 0.0000 0.4253 x3
4 O 0.0000 0.0000 0.5857 x3


Entry 7:
First-principles (PBE) data for a relaxed structure of KSeN2O, as listed in Alexandria.

The value obtained for the uncorrected formation energy is 39.83 kcal/mol of atoms. The calculation puts the volume at 88.0 Å³ per cell.

Cell: 4.630 4.630 4.105 Å, 90.00 90.00 90.00°
Space group P4/mmm (No. 123)
Symmetry-distinct sites (fractional):
1 K 0.000 0.000 0.000 x1
2 Se 0.500 0.500 0.000 x1
3 N 0.000 0.500 0.500 x2
4 O 0.500 0.500 0.500 x1


Entry 8:
First-principles (PBE) data for a relaxed structure of TbY5HoTh2, as listed in Alexandria.

Its energy relative to the elements is 291 kJ/mol of formula units. The calculation puts the volume at 1193.9 Å³ per cell.

Cell: 8.757 8.757 15.567 Å, 90.00 90.00 90.00°
Space group I4/mcm (No. 140)
Symmetry-distinct sites (fractional):
1 Tb 0.000 0.500 0.250 x4
2 Y 0.000 0.000 0.000 x4
3 Y 0.210 0.290 0.140 x16
4 Ho 0.000 0.000 0.250 x4
5 Th 0.119 0.381 0.500 x8


Entry 9:
First-principles (PBE) data for a relaxed structure of Li7Ca3Mg2, as listed in Alexandria.

Its energy relative to the elements is -27 kJ/mol of formula units. The calculation puts the volume at 932.7 Å³ per cell.

Cell: 6.0466 6.0466 29.4570 Å, 90.00 90.00 120.00°
Space group R-3m (No. 166, hexagonal axes)
Symmetry-distinct sites (fractional):
1 Li 0.0000 0.0000 0.0000 x3
2 Li 0.0023 0.5012 0.4176 x18
3 Ca 0.0000 0.0000 0.3593 x6
4 Ca 0.0000 0.0000 0.5000 x3
5 Mg 0.0000 0.0000 0.1664 x6


Entry 10:
First-principles (PBE) data for a relaxed structure of K4Dy3ZrO8, as listed in Alexandria.

The value obtained for the uncorrected formation energy is -60.96 kcal/mol of atoms. The calculation puts the volume at 768.5 Å³ per cell.

Cell: 6.8812 6.8812 18.7410 Å, 90.00 90.00 120.00°
Space group R-3m (No. 166, hexagonal axes)
Symmetry-distinct sites (fractional):
1 K 0.0000 0.0000 0.0000 x3
2 K 0.0000 0.5000 0.0000 x9
3 Dy 0.0000 0.5000 0.5000 x9
4 Zr 0.0000 0.0000 0.5000 x3
5 O 0.0000 0.0000 0.2288 x6
6 O 0.0141 0.5070 0.2280 x18


Entry 11:
First-principles (PBE) data for a relaxed structure of ZnTcAg2Cl, as listed in Alexandria.

The value obtained for the uncorrected formation energy is 20.35 kcal/mol of atoms. The calculation puts the volume at 116.6 Å³ per cell.

Cell: 4.890 4.890 4.876 Å, 90.00 90.00 90.00°
Space group P4/mmm (No. 123)
Symmetry-distinct sites (fractional):
1 Zn 0.000 0.000 0.000 x1
2 Tc 0.000 0.000 0.500 x1
3 Ag 0.000 0.500 0.000 x2
4 Cl 0.500 0.500 0.500 x1


Number 1: total magnetic moment 0.000 Bohr magnetons per cell. Number 2: total magnetic moment 1.249 Bohr magnetons per cell. Number 3: total magnetic moment 0.002 Bohr magnetons per cell. Number 4: total magnetic moment 0.000 Bohr magnetons per cell. Number 5: total magnetic moment 2.393 Bohr magnetons per cell. Number 6: total magnetic moment 0.000 Bohr magnetons per cell. Number 7: total magnetic moment 4.891 Bohr magnetons per cell. Number 8: total magnetic moment 0.000 Bohr magnetons per cell. Number 9: total magnetic moment 0.000 Bohr magnetons per cell. Number 10: total magnetic moment 0.000 Bohr magnetons per cell. Number 11: total magnetic moment 3.111 Bohr magnetons per cell.